Zr3MnCr: optimized geometry, GGA-PBE.

The calculation puts the magnetic moment at 0.1 Bohr magnetons per cell. As for the density of states at the Fermi level: 1.42 states/eV/atom. The value obtained for the energy above the most stable polymorph in this dataset is 149 meV per atom. The space-group type is No. 221.

a = 4.756 Å, b = 4.756 Å, c = 4.756 Å
α = 90.00°, β = 90.00°, γ = 90.00°
Each line ends with the local moment (μB).
Atoms (fractional coordinates):
Zr  0.000  0.500  0.000  0.04
Zr  0.000  0.000  0.500  0.03
Zr  0.500  0.000  0.000  0.07
Cr  0.000  0.000  0.000  0.04
Mn  0.500  0.500  0.500  -0.15